(1)
Material: BaMnSe
Method: DFT, SCAN
State: single point on PBEsol structure

Cell and atoms, written as POSCAR:
```
BaMnSe
1.0
0.000 3.303 3.303
3.303 0.000 3.303
3.303 3.303 0.000
Ba Mn Se
1 1 1
Direct
0.000 0.000 0.000 Ba
0.250 0.250 0.250 Mn
0.500 0.500 0.500 Se
```

Computed properties:
**SG**: F-43m, No. 216

(2)
Material: Ba4MnSe
Method: DFT, SCAN
State: single point on PBEsol structure

Cell and atoms, written as POSCAR:
```
Ba4MnSe
1.0
0.000 4.927 4.927
4.927 0.000 4.927
4.927 4.927 0.000
Ba Mn Se
4 1 1
Direct
0.124 0.124 0.124 Ba
0.124 0.124 0.627 Ba
0.124 0.627 0.124 Ba
0.627 0.124 0.124 Ba
0.500 0.500 0.500 Mn
0.750 0.750 0.750 Se
```

Computed properties:
**SG**: F-43m, No. 216

Calculated total moment, 3.46; 2.62 μB/cell (same order as the records).
Calculated E_form (uncorrected), -0.25; 0.29 eV/atom (same order as the records).